[1]
Material: Ac2MnCuPt6
Method: DFT, PBE
State: optimized geometry

a = 6.8029 Å, b = 6.8029 Å, c = 8.6193 Å
α = 129.29°, β = 129.29°, γ = 47.60°
Fractional coordinates of all 10 atoms:
Ac  0.2447  0.2447  0.2031
Ac  0.7553  0.7553  0.7969
Mn  0.0000  0.0000  0.5000
Cu  0.5000  0.5000  0.0000
Pt  0.2502  0.7445  0.7443
Pt  0.2507  0.2507  0.6013
Pt  0.2555  0.7498  0.2557
Pt  0.7445  0.2502  0.7443
Pt  0.7493  0.7493  0.3987
Pt  0.7498  0.2555  0.2557

Properties
The formation energy is -689 meV per atom.

***

[2]
Material: Ac2MnCuS5
Method: DFT, PBE
State: optimized geometry

a = 8.7775 Å, b = 8.7775 Å, c = 11.6624 Å
α = 90.00°, β = 90.00°, γ = 153.44°
Fractional coordinates of all 18 atoms:
Ac  0.1186  0.8814  0.5000
Ac  0.1286  0.8714  0.1064
Ac  0.8714  0.1286  0.6064
Ac  0.8814  0.1186  0.0000
Mn  0.2009  0.7991  0.8158
Mn  0.7991  0.2009  0.3158
Cu  0.4303  0.5697  0.2482
Cu  0.5697  0.4303  0.7482
S  0.0661  0.9339  0.8441
S  0.2899  0.7101  0.4541
S  0.3029  0.6971  0.1619
S  0.3458  0.6542  0.8061
S  0.5003  0.4997  0.0776
S  0.4997  0.5003  0.5776
S  0.6542  0.3458  0.3061
S  0.6971  0.3029  0.6619
S  0.7101  0.2899  0.9541
S  0.9339  0.0661  0.3441

Properties
Its formation energy without anion corrections is -1.38 eV per atom.

***

| no. | total magnetic moment (μB per formula unit) | total DFT energy (no corrections) (eV per cell) |
| --- | --- | --- |
| 1 | 3.8 | -64.6 |
| 2 | 4.0 | -109.0 |